First-principles (PBE) data for a geometry-optimized Dy2TmPa2Co5 structure, as listed in Alexandria.

- Space group: P4/mbm (127)
- DFT formation energy: -0.149 eV/atom
- Raw total energy: -6.969 eV per atom

a b c (Å): 10.457 10.457 3.445
angles (deg): 90.00 90.00 90.00
Fractional positions:
Dy 0.171 0.329 0.000
Dy 0.329 0.829 0.000
Dy 0.671 0.171 0.000
Dy 0.829 0.671 0.000
Tm 0.000 0.000 0.000
Tm 0.500 0.500 0.000
Pa 0.136 0.636 0.000
Pa 0.364 0.136 0.000
Pa 0.636 0.864 0.000
Pa 0.864 0.364 0.000
Co 0.000 0.500 0.500
Co 0.041 0.779 0.500
Co 0.221 0.041 0.500
Co 0.279 0.541 0.500
Co 0.459 0.279 0.500
Co 0.500 0.000 0.500
Co 0.541 0.721 0.500
Co 0.721 0.459 0.500
Co 0.779 0.959 0.500
Co 0.959 0.221 0.500



First-principles (PBE) data for a geometry-optimized Dy2TmPaCo2 structure, as listed in Alexandria.

- Space group: Ibam (72)
- DFT formation energy: -0.205 eV/atom
- Raw total energy: -6.436 eV per atom

a b c (Å): 7.888 7.888 7.888
angles (deg): 129.36 74.07 129.81
Fractional positions:
Dy 0.200 0.211 0.411
Dy 0.300 0.711 0.011
Dy 0.700 0.289 0.989
Dy 0.800 0.789 0.589
Tm 0.250 0.750 0.500
Tm 0.750 0.250 0.500
Pa 0.250 0.250 0.000
Pa 0.750 0.750 0.000
Co 0.090 0.791 0.881
Co 0.410 0.291 0.701
Co 0.590 0.709 0.299
Co 0.910 0.209 0.119



First-principles (PBE) data for a geometry-optimized Dy4CoPb structure, as listed in Alexandria.

- Space group: C2/c (15)
- DFT formation energy: -0.284 eV/atom
- Raw total energy: -5.155 eV per atom

a b c (Å): 7.892 7.892 6.012
angles (deg): 100.67 100.67 112.38
Fractional positions:
Dy 0.053 0.731 0.947
Dy 0.206 0.359 0.626
Dy 0.269 0.947 0.553
Dy 0.359 0.206 0.126
Dy 0.641 0.794 0.874
Dy 0.731 0.053 0.447
Dy 0.794 0.641 0.374
Dy 0.947 0.269 0.053
Co 0.000 0.000 0.250
Co 0.000 0.000 0.750
Pb 0.372 0.628 0.250
Pb 0.628 0.372 0.750



First-principles (PBE) data for a geometry-optimized Dy6Co2Pb structure, as listed in Alexandria.

- Space group: Immm (71)
- DFT formation energy: -0.278 eV/atom
- Raw total energy: -5.337 eV per atom

a b c (Å): 8.425 8.425 8.425
angles (deg): 111.16 109.86 107.42
Fractional positions:
Dy 0.016 0.231 0.785
Dy 0.185 0.287 0.473
Dy 0.185 0.713 0.898
Dy 0.316 0.010 0.694
Dy 0.316 0.621 0.306
Dy 0.447 0.231 0.215
Dy 0.553 0.769 0.785
Dy 0.684 0.379 0.694
Dy 0.684 0.990 0.306
Dy 0.815 0.287 0.102
Dy 0.815 0.713 0.527
Dy 0.984 0.769 0.215
Co 0.111 0.611 0.500
Co 0.380 0.000 0.380
Co 0.620 0.000 0.620
Co 0.889 0.389 0.500
Pb 0.000 0.000 0.000
Pb 0.500 0.500 0.000



First-principles (PBE) data for a geometry-optimized Dy2CoPb structure, as listed in Alexandria.

- Space group: P4/mmm (123)
- DFT formation energy: -0.308 eV/atom
- Raw total energy: -5.313 eV per atom

a b c (Å): 3.423 3.423 7.999
angles (deg): 90.00 90.00 90.00
Fractional positions:
Dy 0.000 0.000 0.201
Dy 0.000 0.000 0.799
Co 0.500 0.500 0.000
Pb 0.500 0.500 0.500



First-principles (PBE) data for a geometry-optimized Dy4CoPb2 structure, as listed in Alexandria.

- Space group: P2_1/m (11)
- DFT formation energy: -0.319 eV/atom
- Raw total energy: -5.024 eV per atom

a b c (Å): 6.279 6.689 9.405
angles (deg): 90.00 102.84 90.00
Fractional positions:
Dy 0.189 0.250 0.094
Dy 0.218 0.002 0.743
Dy 0.218 0.498 0.743
Dy 0.298 0.750 0.396
Dy 0.702 0.250 0.604
Dy 0.782 0.502 0.257
Dy 0.782 0.998 0.257
Dy 0.811 0.750 0.906
Co 0.042 0.750 0.159
Co 0.958 0.250 0.841
Pb 0.195 0.250 0.440
Pb 0.379 0.750 0.044
Pb 0.621 0.250 0.956
Pb 0.805 0.750 0.560



First-principles (PBE) data for a geometry-optimized DyCo4Pb structure, as listed in Alexandria.

- Space group: F-43m (216)
- DFT formation energy: 0.004 eV/atom
- Raw total energy: -6.119 eV per atom

a b c (Å): 5.052 5.052 5.052
angles (deg): 60.00 60.00 60.00
Fractional positions:
Dy 0.000 0.000 0.000
Co 0.124 0.625 0.625
Co 0.625 0.124 0.625
Co 0.625 0.625 0.124
Co 0.625 0.625 0.625
Pb 0.250 0.250 0.250



First-principles (PBE) data for a geometry-optimized Dy4CoPb2 structure, as listed in Alexandria.

- Space group: I4/mmm (139)
- DFT formation energy: -0.316 eV/atom
- Raw total energy: -5.021 eV per atom

a b c (Å): 4.917 4.917 16.568
angles (deg): 90.00 90.00 90.00
Fractional positions:
Dy 0.000 0.000 0.171
Dy 0.000 0.000 0.829
Dy 0.000 0.500 0.000
Dy 0.000 0.500 0.500
Dy 0.500 0.000 0.000
Dy 0.500 0.000 0.500
Dy 0.500 0.500 0.329
Dy 0.500 0.500 0.671
Co 0.000 0.000 0.000
Co 0.500 0.500 0.500
Pb 0.000 0.000 0.360
Pb 0.000 0.000 0.640
Pb 0.500 0.500 0.140
Pb 0.500 0.500 0.860



First-principles (PBE) data for a geometry-optimized Dy4CoPb structure, as listed in Alexandria.

- Space group: C2/m (12)
- DFT formation energy: -0.301 eV/atom
- Raw total energy: -5.171 eV per atom

a b c (Å): 8.897 8.897 5.877
angles (deg): 109.07 109.07 47.24
Fractional positions:
Dy 0.141 0.629 0.387
Dy 0.215 0.785 0.000
Dy 0.323 0.323 0.826
Dy 0.371 0.859 0.613
Dy 0.629 0.141 0.387
Dy 0.677 0.677 0.174
Dy 0.785 0.215 0.000
Dy 0.859 0.371 0.613
Co 0.500 0.500 0.268
Co 0.500 0.500 0.732
Pb 0.196 0.196 0.197
Pb 0.804 0.804 0.803



First-principles (PBE) data for a geometry-optimized Dy2CoPb structure, as listed in Alexandria.

- Space group: R-3m (166)
- DFT formation energy: -0.036 eV/atom
- Raw total energy: -5.041 eV per atom

a b c (Å): 3.732 3.732 28.525
angles (deg): 90.00 90.00 120.00
Fractional positions:
Dy 0.000 0.000 0.114
Dy 0.000 0.000 0.886
Dy 0.333 0.667 0.553
Dy 0.333 0.667 0.780
Dy 0.667 0.333 0.220
Dy 0.667 0.333 0.447
Co 0.000 0.000 0.500
Co 0.333 0.667 0.167
Co 0.667 0.333 0.833
Pb 0.000 0.000 0.000
Pb 0.333 0.667 0.667
Pb 0.667 0.333 0.333



First-principles (PBE) data for a geometry-optimized Dy7Co2Pb2 structure, as listed in Alexandria.

- Space group: Cmmm (65)
- DFT formation energy: -0.195 eV/atom
- Raw total energy: -5.090 eV per atom

a b c (Å): 6.759 6.759 7.125
angles (deg): 90.00 90.00 107.79
Fractional positions:
Dy 0.000 0.000 0.000
Dy 0.000 0.500 0.236
Dy 0.000 0.500 0.764
Dy 0.500 0.000 0.236
Dy 0.500 0.000 0.764
Dy 0.500 0.500 0.221
Dy 0.500 0.500 0.779
Co 0.287 0.713 0.000
Co 0.713 0.287 0.000
Pb 0.190 0.190 0.500
Pb 0.810 0.810 0.500



First-principles (PBE) data for a geometry-optimized Dy7Co2Pb structure, as listed in Alexandria.

- Space group: Cmmm (65)
- DFT formation energy: -0.071 eV/atom
- Raw total energy: -5.085 eV per atom

a b c (Å): 8.054 8.054 4.934
angles (deg): 90.00 90.00 112.98
Fractional positions:
Dy 0.000 0.000 0.000
Dy 0.182 0.448 0.000
Dy 0.206 0.794 0.500
Dy 0.448 0.182 0.000
Dy 0.552 0.818 0.000
Dy 0.794 0.206 0.500
Dy 0.818 0.552 0.000
Co 0.204 0.796 0.000
Co 0.796 0.204 0.000
Pb 0.500 0.500 0.500